SrZn2GaSi | PBE-GGA | optimized geometry

Cell: 4.2633 4.3115 6.2402 Å, 110.21 109.97 90.00°
With the nearest neighbours (Å) after each atom.
Atoms (fractional coordinates):
1 Sr 0.4416 0.4416 0.8832  4 Si 3.27, 8 Zn 3.28-3.50, 4 Ga 3.45-3.49
2 Zn 0.6942 0.1942 0.3883  2 Zn 2.61, 2 Si 2.61
3 Zn 0.0565 0.0565 0.1129  1 Si 2.48, 2 Ga 2.60, 2 Zn 2.61
4 Ga 0.1904 0.6904 0.3807  2 Zn 2.60, 2 Si 2.62
5 Si 0.8296 0.8296 0.6591  3 Zn 2.48-2.61, 2 Ga 2.62

Calculated values
- theoretical density (g/cm³) = 5.2
- magnetization (Bohr magnetons per cell) = 0.0



Sr2Zn4GaSi3 | PBE-GGA | optimized geometry

Cell: 4.2916 4.2916 10.6990 Å, 90.00 90.00 90.00°
With the nearest neighbours (Å) after each atom.
Atoms (fractional coordinates):
1 Sr 0.5000 0.0000 0.2462  6 Si 3.27-3.46, 8 Zn 3.29-3.40, 2 Ga 3.46
2 Sr 0.0000 0.5000 0.7538  6 Si 3.27-3.46, 8 Zn 3.29-3.40, 2 Ga 3.46
3 Zn 0.5000 0.5000 0.0000  4 Si 2.57
4 Zn 0.0000 0.0000 0.0000  4 Si 2.57
5 Zn 0.5000 0.0000 0.6361  3 Si 2.48-2.59, 2 Ga 2.59
6 Zn 0.0000 0.5000 0.3639  3 Si 2.48-2.59, 2 Ga 2.59
7 Ga 0.5000 0.5000 0.5000  4 Zn 2.59
8 Si 0.0000 0.0000 0.5000  4 Zn 2.59
9 Si 0.5000 0.0000 0.8676  5 Zn 2.48-2.57
10 Si 0.0000 0.5000 0.1324  5 Zn 2.48-2.57

Calculated values
- theoretical density (g/cm³) = 5.0
- magnetization (Bohr magnetons per cell) = 0.0



TaGaSi2 | PBE-GGA | optimized geometry

Cell: 7.1409 7.1409 5.7125 Å, 51.32 51.32 90.00°
With the nearest neighbours (Å) after each atom.
Atoms (fractional coordinates):
1 Si 0.6230 0.1250 0.2500  2 Ga 2.60, 2 Ta 2.62, 2 Si 2.67
2 Si 0.1270 0.6250 0.2500  2 Ga 2.60, 2 Ta 2.62, 2 Si 2.67
3 Si 0.3750 0.3770 0.7500  2 Ga 2.60, 2 Ta 2.62, 2 Si 2.67
4 Si 0.8750 0.8730 0.7500  2 Ga 2.60, 2 Ta 2.62, 2 Si 2.67
5 Ga 0.5000 0.5000 0.0000  4 Si 2.60, 2 Ta 2.67
6 Ga 0.2500 0.7500 0.5000  4 Si 2.60, 2 Ta 2.67
7 Ta 0.0000 0.0000 0.0000  4 Si 2.62, 2 Ga 2.67
8 Ta 0.7500 0.2500 0.5000  4 Si 2.62, 2 Ga 2.67

Calculated values
- theoretical density (g/cm³) = 7.5
- magnetization (Bohr magnetons per cell) = 0.0



Ta2GaSi | PBE-GGA | optimized geometry

Cell: 3.5905 3.5905 6.6173 Å, 74.26 74.26 60.00°
With the nearest neighbours (Å) after each atom.
Atoms (fractional coordinates):
1 Si 0.0000 0.0000 0.0000  6 Ta 2.52
2 Ga 0.5000 0.5000 0.5000  6 Ta 2.69
3 Ta 0.2575 0.2575 0.2274  3 Si 2.52, 3 Ga 2.69
4 Ta 0.7425 0.7425 0.7726  3 Si 2.52, 3 Ga 2.69

Calculated values
- theoretical density (g/cm³) = 10.9
- magnetization (Bohr magnetons per cell) = 0.0



Number 1: uncorrected energy -2.86 eV per atom, N(E_F) 1.1 states/eV per cell, formation energy without anion corrections -1.63 eV/f.u.. Number 2: uncorrected energy -3.09 eV per atom, N(E_F) 1.9 states/eV per cell, formation energy without anion corrections -3.17 eV/f.u.. Number 3: uncorrected energy -6.11 eV per atom, N(E_F) 2.3 states/eV per cell, formation energy without anion corrections 1.30 eV/f.u.. Number 4: uncorrected energy -8.00 eV per atom, N(E_F) 1.9 states/eV per cell, formation energy without anion corrections 0.17 eV/f.u..